Entry 1:
Density functional theory data (PBE) for a relaxed structure of NbIrPt.

Calculated values
The value obtained for the total magnetization is 0.02 μB/f.u. For the formation energy from the elements, the calculation gives -1 meV per atom. As for the space-group type: F-43m, No. 216.

Cell: 4.3228 4.3228 4.3228 Å, 60.00 60.00 60.00°
With the nearest neighbours (Å) after each atom.
Atoms (fractional coordinates):
Nb: 0.0000 0.0000 0.0000  4 Ir 2.65
Ir: 0.2500 0.2500 0.2500  4 Nb 2.65, 4 Pt 2.65
Pt: 0.5000 0.5000 0.5000  4 Ir 2.65

---

Entry 2:
Density functional theory data (PBE) for a relaxed structure of BaSmSn2.

Calculated values
The value obtained for the total magnetization is 0.07 μB/f.u. The final energy comes out at -3.607 eV/atom. As for the space-group type: Amm2, No. 38.

Cell: 3.5077 7.2500 7.2500 Å, 54.38 90.00 90.00°
With the nearest neighbours (Å) after each atom.
Atoms (fractional coordinates):
Ba: 0.0000 0.0000 0.0000  3 Sn 3.32-3.40, 2 Ba 3.51, 1 Sm 3.63
Sm: 0.0000 0.2818 0.2818  3 Sn 3.02-3.36
Sn: 0.0000 0.5159 0.5159  1 Sn 2.84, 1 Sm 3.02
Sn: 0.0000 0.7360 0.7360  1 Sn 2.84

---

Entry 3:
Density functional theory data (PBE) for a relaxed structure of GdSiHO4.

Calculated values
The value obtained for the total magnetization is 0.00 μB/f.u. The final energy comes out at -7.450 eV/atom. As for the space-group type: P2_1/c, No. 14.

Cell: 7.1451 6.2908 6.9268 Å, 90.00 99.43 90.00°
With the nearest neighbours (Å) after each atom.
Atoms (fractional coordinates):
Gd: 0.2237 0.1373 0.4932  6 O 2.23-2.47, 1 H 2.44
Gd: 0.2237 0.3627 0.9932  6 O 2.23-2.47, 1 H 2.44
Gd: 0.7763 0.6373 0.0068  6 O 2.23-2.47, 1 H 2.44
Gd: 0.7763 0.8627 0.5068  6 O 2.23-2.47, 1 H 2.44
Si: 0.2487 0.6234 0.4840  4 O 1.62-1.70
Si: 0.2487 0.8766 0.9840  4 O 1.62-1.70
Si: 0.7513 0.1234 0.0160  4 O 1.62-1.70
Si: 0.7513 0.3766 0.5160  4 O 1.62-1.70
H: 0.3928 0.6299 0.8345  1 O 1.04
H: 0.3928 0.8701 0.3345  1 O 1.04
H: 0.6072 0.1299 0.6655  1 O 1.04
H: 0.6072 0.3701 0.1655  1 O 1.04
O: 0.0755 0.7088 0.9742  1 Si 1.62
O: 0.0755 0.7912 0.4742  1 Si 1.62
O: 0.2355 0.0535 0.8121  1 Si 1.62
O: 0.2355 0.4465 0.3121  1 Si 1.62
O: 0.2876 0.0179 0.1845  1 H 1.50, 1 Si 1.63
O: 0.2876 0.4821 0.6845  1 H 1.50, 1 Si 1.63
O: 0.4317 0.7069 0.9687  1 H 1.04
O: 0.4317 0.7931 0.4687  1 H 1.04
O: 0.5683 0.2069 0.5313  1 H 1.04
O: 0.5683 0.2931 0.0313  1 H 1.04
O: 0.7124 0.5179 0.3155  1 H 1.50, 1 Si 1.63
O: 0.7124 0.9821 0.8155  1 H 1.50, 1 Si 1.63
O: 0.7645 0.5535 0.6879  1 Si 1.62
O: 0.7645 0.9465 0.1879  1 Si 1.62
O: 0.9245 0.2088 0.5258  1 Si 1.62
O: 0.9245 0.2912 0.0258  1 Si 1.62

---

Entry 4:
Density functional theory data (PBE) for a relaxed structure of Zr2Sc2O5.

Calculated values
The value obtained for the total magnetization is 0.01 μB/f.u. The final energy comes out at -8.757 eV/atom. As for the space-group type: P4/mmm, No. 123.

Cell: 3.5283 3.5283 9.4286 Å, 90.00 90.00 90.00°
With the nearest neighbours (Å) after each atom.
Atoms (fractional coordinates):
Zr: 0.0000 0.0000 0.0000  8 O 2.19
Zr: 0.0000 0.0000 0.5000  4 O 2.49
Sc: 0.5000 0.5000 0.2480  4 O 2.05
Sc: 0.5000 0.5000 0.7520  4 O 2.05
O: 0.0000 0.5000 0.1370  2 Sc 2.05, 2 Zr 2.19
O: 0.0000 0.5000 0.8630  2 Sc 2.05, 2 Zr 2.19
O: 0.5000 0.0000 0.1370  2 Sc 2.05, 2 Zr 2.19
O: 0.5000 0.0000 0.8630  2 Sc 2.05, 2 Zr 2.19
O: 0.5000 0.5000 0.5000  2 Sc 2.38, 4 Zr 2.49

---

Entry 5:
Density functional theory data (PBE) for a relaxed structure of ZrFeCuBi.

Calculated values
The value obtained for the total magnetization is 0.03 μB/f.u. The final energy comes out at -6.022 eV/atom. As for the space-group type: F-43m, No. 216.

Cell: 4.5731 4.5731 4.5731 Å, 60.00 60.00 60.00°
With the nearest neighbours (Å) after each atom.
Atoms (fractional coordinates):
Zr: 0.0000 0.0000 0.0000  4 Fe 2.80, 4 Cu 2.80
Fe: 0.7500 0.7500 0.7500  4 Bi 2.80, 4 Zr 2.80
Cu: 0.2500 0.2500 0.2500  4 Bi 2.80, 4 Zr 2.80
Bi: 0.5000 0.5000 0.5000  4 Cu 2.80, 4 Fe 2.80

---

Entry 6:
Density functional theory data (PBE) for a relaxed structure of Dy2Mg3InPd2.

Calculated values
The value obtained for the total magnetization is 0.02 μB/f.u. The final energy comes out at -3.749 eV/atom. As for the space-group type: Cm, No. 8.

Cell: 7.8441 7.8441 4.9040 Å, 90.04 90.04 38.37°
With the nearest neighbours (Å) after each atom.
Atoms (fractional coordinates):
Dy: 0.0000 0.0000 0.0000  2 Pd 2.68
Dy: 0.1991 0.1991 0.4980  2 Pd 2.68
Mg: 0.3566 0.3566 0.9999  1 Pd 2.87, 2 Mg 2.98, 2 In 3.11
Mg: 0.4715 0.4715 0.5002  3 Pd 2.66-2.72
Mg: 0.8466 0.8466 0.4999  1 Pd 2.90, 2 In 2.92-2.93, 2 Mg 3.17
In: 0.7389 0.7389 0.9996  3 Pd 2.77-2.79, 2 Mg 2.92-2.93
Pd: 0.5505 0.5505 0.0005  2 Dy 2.68, 3 Mg 2.72-2.87, 1 In 2.79, 2 Pd 2.87
Pd: 0.6507 0.6507 0.5006  2 Mg 2.66-2.90, 2 Dy 2.68, 2 In 2.77-2.78, 2 Pd 2.87

---

Entry 7:
Density functional theory data (PBE) for a relaxed structure of CdInGe.

Calculated values
The final energy comes out at -2.621 eV/atom. As for the space-group type: F-43m, No. 216.

Cell: 4.7941 4.7941 4.7941 Å, 60.00 60.00 60.00°
With the nearest neighbours (Å) after each atom.
Atoms (fractional coordinates):
Cd: 0.0000 0.0000 0.0000  4 Ge 2.94
In: 0.5000 0.5000 0.5000  4 Ge 2.94
Ge: 0.2500 0.2500 0.2500  4 In 2.94, 4 Cd 2.94

---

Entry 8:
Density functional theory data (PBE) for a relaxed structure of CoBMoAu.

Calculated values
The value obtained for the total magnetization is 0.14 μB/f.u. The final energy comes out at -6.265 eV/atom. As for the space-group type: F-43m, No. 216.

Cell: 4.1774 4.1774 4.1774 Å, 60.00 60.00 60.00°
With the nearest neighbours (Å) after each atom.
Atoms (fractional coordinates):
Co: 0.0000 0.0000 0.0000  4 B 2.56, 4 Au 2.56
B: 0.7500 0.7500 0.7500  4 Co 2.56, 4 Mo 2.56
Mo: 0.5000 0.5000 0.5000  4 B 2.56, 4 Au 2.56
Au: 0.2500 0.2500 0.2500  4 Mo 2.56, 4 Co 2.56

---

Entry 9:
Density functional theory data (PBE) for a relaxed structure of BeCdCoSn.

Calculated values
The value obtained for the total magnetization is 0.00 μB/f.u. The final energy comes out at -3.540 eV/atom. As for the space-group type: F-43m, No. 216.

Cell: 4.4230 4.4230 4.4230 Å, 60.00 60.00 60.00°
With the nearest neighbours (Å) after each atom.
Atoms (fractional coordinates):
Be: 0.0000 0.0000 0.0000  4 Cd 2.71, 4 Sn 2.71
Cd: 0.7500 0.7500 0.7500  4 Co 2.71, 4 Be 2.71
Co: 0.5000 0.5000 0.5000  4 Sn 2.71, 4 Cd 2.71
Sn: 0.2500 0.2500 0.2500  4 Co 2.71, 4 Be 2.71

---

Entry 10:
Density functional theory data (PBE) for a relaxed structure of ThCdCu.

Calculated values
The value obtained for the total magnetization is 0.01 μB/f.u. For the formation energy from the elements, the calculation gives -63 meV per atom. As for the space-group type: F-43m, No. 216.

Cell: 4.6865 4.6865 4.6865 Å, 60.00 60.00 60.00°
With the nearest neighbours (Å) after each atom.
Atoms (fractional coordinates):
Th: 0.0000 0.0000 0.0000  4 Cu 2.87
Cd: 0.5000 0.5000 0.5000  4 Cu 2.87
Cu: 0.7500 0.7500 0.7500  4 Cd 2.87, 4 Th 2.87

---

Entry 11:
Density functional theory data (PBE) for a relaxed structure of SrSmNi2P2.

Calculated values
The value obtained for the total magnetization is 0.00 μB/f.u. The final energy comes out at -5.764 eV/atom. As for the space-group type: P-3m1, No. 164.

Cell: 3.9375 3.9375 8.3952 Å, 90.00 90.00 120.00°
With the nearest neighbours (Å) after each atom.
Atoms (fractional coordinates):
Sr: 0.0000 0.0000 0.0000  6 Ni 3.18, 6 P 3.18
Sm: 0.0000 0.0000 0.5000  6 P 3.01, 6 Ni 3.01
Ni: 0.3333 0.6667 0.7349  3 P 2.27
Ni: 0.6667 0.3333 0.2651  3 P 2.27
P: 0.3333 0.6667 0.2652  3 Ni 2.27
P: 0.6667 0.3333 0.7348  3 Ni 2.27

---

Entry 12:
Density functional theory data (PBE) for a relaxed structure of DyAgPd.

Calculated values
The value obtained for the total magnetization is 0.00 μB/f.u. For the formation energy from the elements, the calculation gives -483 meV per atom. As for the space-group type: F-43m, No. 216.

Cell: 4.6137 4.6137 4.6137 Å, 60.00 60.00 60.00°
With the nearest neighbours (Å) after each atom.
Atoms (fractional coordinates):
Dy: 0.0000 0.0000 0.0000  4 Pd 2.83
Ag: 0.5000 0.5000 0.5000  4 Pd 2.83
Pd: 0.7500 0.7500 0.7500  4 Dy 2.83, 4 Ag 2.83